# 1
Entry from OQMD: a geometry-optimized Al5Mo structure (PBE).

Cell and atoms, written as POSCAR:
```
Al5Mo
1.0
4.9347 0.0000 0.0000
-2.4673 4.2736 0.0000
0.0000 0.0000 44.0381
Al Mo
50 10
Cartesian
0.0000 0.0000 2.1335 Al
0.0000 0.0000 11.0094 Al
0.0000 0.0000 19.8840 Al
0.0000 0.0000 24.1541 Al
0.0000 0.0000 33.0287 Al
0.0000 0.0000 41.9046 Al
-0.8489 1.4704 0.0000 Al
-1.6214 2.8083 22.0191 Al
-1.6279 2.8775 30.8270 Al
-0.7780 1.4191 35.2391 Al
-0.7787 1.4273 26.4152 Al
-1.6159 2.8921 4.3958 Al
0.7707 1.4281 4.3958 Al
-0.8493 4.2377 35.2391 Al
-0.8419 4.2343 26.4152 Al
0.7893 1.4250 30.8270 Al
1.6180 0.0358 8.7990 Al
0.8394 1.3960 13.2111 Al
0.0000 2.8490 6.6724 Al
0.0000 2.8490 11.0142 Al
0.0000 2.8490 15.4140 Al
0.0000 2.8490 19.7508 Al
0.0000 2.8490 28.6261 Al
0.0000 2.8490 37.4960 Al
0.0000 2.8490 41.7675 Al
1.6255 0.0393 17.6229 Al
0.8514 1.3815 39.6423 Al
0.8460 1.4653 22.0191 Al
1.6978 0.0000 0.0000 Al
1.6184 2.8032 0.0000 Al
3.2427 0.0000 22.0191 Al
1.6206 2.8855 26.4152 Al
0.8452 4.2269 4.3958 Al
2.4673 1.4245 2.2707 Al
2.4673 1.4245 6.5421 Al
2.4673 1.4245 15.4120 Al
2.4673 1.4245 24.2873 Al
2.4673 1.4245 28.6241 Al
2.4673 1.4245 33.0239 Al
2.4673 1.4245 37.3657 Al
0.8386 4.2446 30.8270 Al
1.6273 2.8902 35.2391 Al
3.3060 0.0289 13.2111 Al
1.6886 2.8462 17.6229 Al
1.6894 2.8544 8.7990 Al
3.3126 0.0466 39.6423 Al
3.2380 2.8454 39.6423 Al
4.0879 1.3881 17.6229 Al
4.0946 1.3833 8.7990 Al
3.2566 2.8486 13.2111 Al
0.0000 0.0000 6.5678 Mo
0.0000 0.0000 15.4353 Mo
0.0000 0.0000 28.6028 Mo
0.0000 0.0000 37.4703 Mo
0.0000 2.8490 2.1904 Mo
0.0000 2.8490 24.1987 Mo
0.0000 2.8490 33.0567 Mo
2.4673 1.4245 10.9814 Mo
2.4673 1.4245 19.8394 Mo
2.4673 1.4245 41.8477 Mo
```

Spin magnetization = 0.0 μB/f.u.
Volume = 929 Å³ per cell
E_tot = -5.170 eV per atom

***

# 2
Entry from OQMD: a geometry-optimized DyY2In3PdAu2 structure (PBE).

Cell and atoms, written as POSCAR:
```
DyY2In3PdAu2
1.0
3.9210 0.0000 0.0000
0.0000 6.7256 3.8867
0.0000 -6.7256 3.8867
Dy Y In Pd Au
1 2 3 1 2
Cartesian
0.0000 0.0000 0.0000 Dy
0.0000 -2.7188 3.0583 Y
0.0000 2.7188 3.0583 Y
1.9605 0.0000 2.6445 In
1.9605 -1.7179 5.6222 In
1.9605 1.7179 5.6222 In
0.0000 0.0000 4.6343 Pd
1.9605 -4.4921 4.6259 Au
1.9605 4.4921 4.6259 Au
```

Spin magnetization = 0.0 μB/f.u.
Volume = 205 Å³ per cell
E_tot = -4.963 eV per atom

***

# 3
Entry from OQMD: a geometry-optimized TaTl2Mo structure (PBE).

Cell and atoms, written as POSCAR:
```
TaTl2Mo
1.0
0.0000 3.4396 3.4396
3.4396 0.0000 3.4396
3.4396 3.4396 0.0000
Ta Tl Mo
1 2 1
Cartesian
0.0000 0.0000 0.0000 Ta
3.4396 3.4396 3.4396 Tl
5.1593 5.1593 5.1593 Tl
1.7198 1.7198 1.7198 Mo
```

Spin magnetization = 0.2 μB/f.u.
Volume = 81 Å³ per cell
E_tot = -5.887 eV per atom

***

# 4
Entry from OQMD: a geometry-optimized RbLuPu structure (PBE).

Cell and atoms, written as POSCAR:
```
RbLuPu
1.0
0.0000 4.0947 4.0947
4.0947 0.0000 4.0947
4.0947 4.0947 0.0000
Rb Lu Pu
1 1 1
Cartesian
0.0000 0.0000 0.0000 Rb
4.0947 4.0947 4.0947 Lu
2.0474 2.0474 2.0474 Pu
```

Spin magnetization = 8.2 μB/f.u.
Volume = 137 Å³ per cell
E_tot = -5.224 eV per atom

***

# 5
Entry from OQMD: a geometry-optimized HfTlCoAg structure (PBE).

Cell and atoms, written as POSCAR:
```
HfTlCoAg
1.0
0.0000 3.2824 3.2824
3.2824 0.0000 3.2824
3.2824 3.2824 0.0000
Hf Tl Co Ag
1 1 1 1
Cartesian
0.0000 0.0000 0.0000 Hf
3.2824 3.2824 3.2824 Tl
4.9236 4.9236 4.9236 Co
1.6412 1.6412 1.6412 Ag
```

Spin magnetization = 0.6 μB/f.u.
Volume = 71 Å³ per cell
E_tot = -5.395 eV per atom
Energy above the most stable polymorph in this dataset = 0.000 eV per atom

***

# 6
Entry from OQMD: a geometry-optimized PrZnInSe3 structure (PBE).

Cell and atoms, written as POSCAR:
```
PrZnInSe3
1.0
14.7999 0.0000 0.0000
0.0000 4.2109 0.0000
0.0000 0.0000 11.4798
Pr Zn In Se
4 4 4 12
Cartesian
0.3803 1.0527 1.8413 Pr
7.0197 3.1582 7.5812 Pr
7.7803 1.0527 3.8986 Pr
14.4196 3.1582 9.6385 Pr
0.2693 3.1582 4.6284 Zn
7.1307 1.0527 10.3683 Zn
7.6692 3.1582 1.1115 Zn
14.5307 1.0527 6.8514 Zn
3.5622 1.0527 5.2996 In
3.8377 3.1582 11.0395 In
10.9622 1.0527 0.4403 In
11.2377 3.1582 6.1802 In
1.1903 3.1582 6.9921 Se
1.5237 1.0527 10.5974 Se
2.1327 3.1582 2.9953 Se
5.2673 1.0527 8.7352 Se
5.8763 3.1582 4.8575 Se
6.2097 1.0527 1.2522 Se
8.5902 3.1582 10.2276 Se
8.9237 1.0527 6.6223 Se
9.5327 3.1582 2.7446 Se
12.6672 1.0527 8.4845 Se
13.2762 3.1582 0.8824 Se
13.6097 1.0527 4.4877 Se
```

Spin magnetization = 0.0 μB/f.u.
Volume = 715 Å³ per cell
E_tot = -4.247 eV per atom
Energy above the most stable polymorph in this dataset = 0.014 eV per atom

***

# 7
Entry from OQMD: a geometry-optimized CsK2AgF5 structure (PBE).

Cell and atoms, written as POSCAR:
```
CsK2AgF5
1.0
7.0816 0.0000 0.0000
0.0000 7.0816 0.0000
0.0000 0.0000 6.2199
Cs K Ag F
2 4 2 10
Cartesian
0.0000 0.0000 0.0000 Cs
3.5408 3.5408 0.0000 Cs
1.1653 2.3755 3.1100 K
2.3755 5.9162 3.1100 K
4.7061 1.1653 3.1100 K
5.9162 4.7061 3.1100 K
0.0000 3.5408 0.0000 Ag
3.5408 0.0000 0.0000 Ag
0.0000 0.0000 3.1100 F
1.0356 4.5764 1.4564 F
1.0356 4.5764 4.7636 F
2.5052 1.0356 1.4564 F
2.5052 1.0356 4.7636 F
3.5408 3.5408 3.1100 F
4.5764 6.0459 1.4564 F
4.5764 6.0459 4.7636 F
6.0459 2.5052 1.4564 F
6.0459 2.5052 4.7636 F
```

Volume = 312 Å³ per cell
E_tot = -3.847 eV per atom

***

# 8
Entry from OQMD: a geometry-optimized Pr3Ir2N4 structure (PBE).

Cell and atoms, written as POSCAR:
```
Pr3Ir2N4
1.0
6.7538 0.0000 0.0000
0.0000 3.2258 0.0000
-1.1207 0.0000 6.8068
Pr Ir N
3 2 4
Cartesian
0.0000 0.0000 0.0000 Pr
-0.2508 0.0000 3.4612 Pr
2.8788 0.0000 1.7062 Pr
1.8093 1.6129 5.6540 Ir
3.6511 0.0000 4.5709 Ir
-0.0804 1.6129 5.3213 N
0.9700 1.6129 1.8731 N
4.1665 1.6129 3.3315 N
3.7681 1.6129 6.0064 N
```

Spin magnetization = 0.2 μB/f.u.
Volume = 148 Å³ per cell
E_tot = -7.726 eV per atom

***

# 9
Entry from OQMD: a geometry-optimized B4PbW structure (PBE).

Cell and atoms, written as POSCAR:
```
B4PbW
1.0
3.0346 0.0000 0.0000
-1.5173 2.6281 0.0000
0.0000 0.0000 8.9177
B Pb W
4 1 1
Cartesian
0.0000 1.7520 1.6448 B
0.0000 1.7520 7.2728 B
1.5173 0.8760 1.6448 B
1.5173 0.8760 7.2728 B
0.0000 0.0000 4.4588 Pb
0.0000 0.0000 0.0000 W
```

Spin magnetization = 0.0 μB/f.u.
Volume = 71 Å³ per cell
E_tot = -7.092 eV per atom
Energy above the most stable polymorph in this dataset = 0.000 eV per atom

***

# 10
Entry from OQMD: a geometry-optimized NaPdO2 structure (PBE).

Cell and atoms, written as POSCAR:
```
NaPdO2
1.0
3.0543 0.0000 0.0000
-1.5271 2.6451 0.0000
0.0000 0.0000 11.2847
Na Pd O
2 2 4
Cartesian
0.0000 0.0000 0.0000 Na
0.0000 0.0000 5.6423 Na
0.0000 1.7634 2.8212 Pd
1.5271 0.8817 8.4635 Pd
0.0000 1.7634 7.1623 O
0.0000 1.7634 9.7647 O
1.5271 0.8817 1.5200 O
1.5271 0.8817 4.1223 O
```

Volume = 91 Å³ per cell
E_tot = -4.533 eV per atom

***

# 11
Entry from OQMD: a geometry-optimized Li4GePt2Pb structure (PBE).

Cell and atoms, written as POSCAR:
```
Li4GePt2Pb
1.0
4.3573 0.0000 0.0000
0.0000 4.3573 0.0000
0.0000 0.0000 6.4933
Li Ge Pt Pb
4 1 2 1
Cartesian
0.0000 0.0000 0.0000 Li
0.0000 2.1787 4.6701 Li
2.1787 0.0000 1.8232 Li
2.1787 2.1787 3.2466 Li
0.0000 0.0000 3.2466 Ge
0.0000 2.1787 1.8475 Pt
2.1787 0.0000 4.6458 Pt
2.1787 2.1787 0.0000 Pb
```

Spin magnetization = 0.0 μB/f.u.
Volume = 123 Å³ per cell
E_tot = -4.067 eV per atom

***

# 12
Entry from OQMD: a geometry-optimized LiSmPd structure (PBE).

Cell and atoms, written as POSCAR:
```
LiSmPd
1.0
0.0000 3.3335 3.3335
3.3335 0.0000 3.3335
3.3335 3.3335 0.0000
Li Sm Pd
1 1 1
Cartesian
0.0000 0.0000 0.0000 Li
1.6668 1.6668 1.6668 Sm
3.3335 3.3335 3.3335 Pd
```

Spin magnetization = 0.0 μB/f.u.
Volume = 74 Å³ per cell
E_tot = -3.916 eV per atom
Energy above the most stable polymorph in this dataset = 0.405 eV per atom

***

# 13
Entry from OQMD: a geometry-optimized BaNdAlSe3 structure (PBE).

Cell and atoms, written as POSCAR:
```
BaNdAlSe3
1.0
2.2772 -6.8487 0.0000
2.2772 6.8487 0.0000
0.0000 0.0000 11.2830
Ba Nd Al Se
2 2 2 6
Cartesian
2.2772 3.5423 8.4623 Ba
2.2772 -3.5423 2.8208 Ba
2.2772 0.0000 0.0000 Nd
2.2772 0.0000 5.6415 Nd
2.2772 6.5685 2.8208 Al
2.2772 -6.5685 8.4623 Al
2.2772 4.9498 0.9031 Se
2.2772 4.9498 4.7385 Se
2.2772 0.8419 2.8208 Se
2.2772 -0.8419 8.4623 Se
2.2772 -4.9498 6.5446 Se
2.2772 -4.9498 10.3800 Se
```

Spin magnetization = 0.0 μB/f.u.
Volume = 352 Å³ per cell
E_tot = -4.822 eV per atom

***

# 14
Entry from OQMD: a geometry-optimized PaPbW structure (PBE).

Cell and atoms, written as POSCAR:
```
PaPbW
1.0
0.0000 3.3813 3.3813
3.3813 0.0000 3.3813
3.3813 3.3813 0.0000
Pa Pb W
1 1 1
Cartesian
0.0000 0.0000 0.0000 Pa
3.3813 3.3813 3.3813 Pb
5.0719 5.0719 5.0719 W
```

Spin magnetization = 0.2 μB/f.u.
Volume = 77 Å³ per cell
E_tot = -7.985 eV per atom
Energy above the most stable polymorph in this dataset = 0.000 eV per atom

***

# 15
Entry from OQMD: a geometry-optimized Rb2Ag2W3 structure (PBE).

Cell and atoms, written as POSCAR:
```
Rb2Ag2W3
1.0
2.1976 1.2688 12.4414
-2.1976 1.2688 12.4414
0.0000 -2.5375 12.4414
Rb Ag W
2 2 3
Cartesian
0.0000 0.0000 0.0000 Rb
0.0000 0.0000 17.0105 Rb
0.0000 0.0000 6.9654 Ag
0.0000 0.0000 27.1996 Ag
0.0000 0.0000 9.6999 W
0.0000 0.0000 21.4767 W
0.0000 0.0000 33.2887 W
```

Spin magnetization = 0.0 μB/f.u.
Volume = 208 Å³ per cell
E_tot = -5.795 eV per atom

***

# 16
Entry from OQMD: a geometry-optimized Zn2Pb structure (PBE).

Cell and atoms, written as POSCAR:
```
Zn2Pb
1.0
1.7584 -8.1636 0.0000
1.7584 8.1636 0.0000
0.0000 0.0000 4.4524
Zn Pb
4 2
Cartesian
1.7584 5.8850 3.3393 Zn
1.7584 4.2703 1.1131 Zn
1.7584 -4.2703 3.3393 Zn
1.7584 -5.8850 1.1131 Zn
1.7584 1.2141 3.3393 Pb
1.7584 -1.2141 1.1131 Pb
```

Volume = 128 Å³ per cell
E_tot = -1.929 eV per atom

***

# 17
Entry from OQMD: a geometry-optimized Sm2Al2SiGe structure (PBE).

Cell and atoms, written as POSCAR:
```
Sm2Al2SiGe
1.0
-2.0977 2.1019 7.3124
2.0977 -2.1019 7.3124
2.0977 2.1019 -7.3124
Sm Al Si Ge
2 2 1 1
Cartesian
0.0000 0.0000 0.0000 Sm
0.0000 2.1019 3.6986 Sm
2.0977 0.0000 4.9314 Al
0.0000 0.0000 8.5379 Al
0.0000 0.0000 6.1339 Si
2.0977 0.0000 2.4878 Ge
```

Spin magnetization = 0.0 μB/f.u.
Volume = 129 Å³ per cell
E_tot = -5.156 eV per atom

***

# 18
Entry from OQMD: a geometry-optimized MgZnFeTc structure (PBE).

Cell and atoms, written as POSCAR:
```
MgZnFeTc
1.0
0.0000 3.0013 3.0013
3.0013 0.0000 3.0013
3.0013 3.0013 0.0000
Mg Zn Fe Tc
1 1 1 1
Cartesian
0.0000 0.0000 0.0000 Mg
1.5006 1.5006 1.5006 Zn
3.0013 3.0013 3.0013 Fe
4.5019 4.5019 4.5019 Tc
```

Spin magnetization = 0.7 μB/f.u.
Volume = 54 Å³ per cell
E_tot = -5.173 eV per atom
Energy above the most stable polymorph in this dataset = 0.000 eV per atom

***

# 19
Entry from OQMD: a geometry-optimized NbGePt structure (PBE).

Cell and atoms, written as POSCAR:
```
NbGePt
1.0
6.8227 0.0000 0.0000
-3.4114 5.9087 0.0000
0.0000 0.0000 3.8033
Nb Ge Pt
3 3 3
Cartesian
-2.0775 3.5983 0.0000 Nb
1.3339 2.3104 0.0000 Nb
4.1549 0.0000 0.0000 Nb
-0.9379 1.6244 1.9017 Ge
1.8757 0.0000 1.9017 Ge
2.4735 4.2842 1.9017 Ge
0.0000 0.0000 0.0000 Pt
0.0000 3.9391 1.9017 Pt
3.4114 1.9696 1.9017 Pt
```

Spin magnetization = 0.2 μB/f.u.
Volume = 153 Å³ per cell
E_tot = -7.242 eV per atom

***

# 20
Entry from OQMD: a geometry-optimized NdMgAgHg structure (PBE).

Cell and atoms, written as POSCAR:
```
NdMgAgHg
1.0
0.0000 3.6093 3.6093
3.6093 0.0000 3.6093
3.6093 3.6093 0.0000
Nd Mg Ag Hg
1 1 1 1
Cartesian
0.0000 0.0000 0.0000 Nd
3.6093 3.6093 3.6093 Mg
1.8047 1.8047 1.8047 Ag
5.4140 5.4140 5.4140 Hg
```

Spin magnetization = 0.0 μB/f.u.
Volume = 94 Å³ per cell
E_tot = -2.757 eV per atom

***

# 21
Entry from OQMD: a geometry-optimized HoCuSi2Os structure (PBE).

Cell and atoms, written as POSCAR:
```
HoCuSi2Os
1.0
-2.0019 2.0019 5.0266
2.0019 -2.0019 5.0266
2.0019 2.0019 -5.0266
Ho Cu Si Os
1 1 2 1
Cartesian
0.0000 0.0000 0.0000 Ho
2.0019 0.0000 2.5133 Cu
0.0000 0.0000 3.8307 Si
0.0000 0.0000 6.2225 Si
0.0000 2.0019 2.5133 Os
```

Spin magnetization = 0.0 μB/f.u.
Volume = 81 Å³ per cell
E_tot = -6.644 eV per atom

***

# 22
Entry from OQMD: a geometry-optimized PrAsPO structure (PBE).

Cell and atoms, written as POSCAR:
```
PrAsPO
1.0
4.6109 0.0000 0.0000
0.0000 4.6109 0.0000
0.0000 0.0000 6.8759
Pr As P O
2 2 2 2
Cartesian
1.1527 1.1527 0.8771 Pr
3.4582 3.4582 5.9988 Pr
1.1527 3.4582 3.4379 As
3.4582 1.1527 3.4379 As
1.1527 1.1527 4.3047 P
3.4582 3.4582 2.5711 P
1.1527 3.4582 0.0000 O
3.4582 1.1527 0.0000 O
```

Spin magnetization = 0.0 μB/f.u.
Volume = 146 Å³ per cell
E_tot = -6.361 eV per atom
Energy above the most stable polymorph in this dataset = 0.000 eV per atom